Density functional theory data (PBEsol) for crystalline MgMnAsSe2 at its relaxed geometry.

Cell lengths 4.842, 4.954, 4.954 Å; angles 90.00, 90.00, 90.00 degrees
Element x y z (fractional)
As  0.500  0.000  0.000
Mn  0.500  0.500  0.500
Mg  0.000  0.000  0.000
Se  0.000  0.000  0.500
Se  0.000  0.500  0.000

The energy relative to the elements, uncorrected comes out at 3.0 eV per formula unit. The crystal system is tetragonal. For the density of states at the Fermi level, the calculation gives 0.905 states/eV per atom. The volume comes out at 118.8 Å³/f.u.

Density functional theory data (PBEsol) for crystalline MgMoAs2 at its relaxed geometry.

Cell lengths 3.241, 3.578, 6.793 Å; angles 90.00, 103.80, 90.00 degrees
Element x y z (fractional)
As  0.056  0.500  0.111
As  0.272  0.000  0.544
Mg  0.473  0.000  0.946
Mo  0.699  0.500  0.399

The crystal system is orthorhombic. For the density of states at the Fermi level, the calculation gives 0.496 states/eV per atom. The volume comes out at 76.5 Å³/f.u. The value obtained for the formation energy is -0.66 eV/f.u.

Density functional theory data (PBEsol) for crystalline MgMoAs2 at its relaxed geometry.

Cell lengths 3.361, 4.445, 5.278 Å; angles 107.11, 90.00, 112.21 degrees
Element x y z (fractional)
As  0.759  0.517  0.797
As  0.241  0.483  0.203
Mg  0.000  0.000  0.500
Mo  0.500  0.000  0.000

The crystal system is monoclinic. For the density of states at the Fermi level, the calculation gives 0.393 states/eV per atom. The volume comes out at 69.2 Å³/f.u. The value obtained for the formation energy is -0.32 eV/f.u.

Density functional theory data (PBEsol) for crystalline MgMoAsSe2 at its relaxed geometry.

Cell lengths 4.795, 4.868, 4.868 Å; angles 90.00, 90.00, 90.00 degrees
Element x y z (fractional)
Mg  0.000  0.000  0.000
Mo  0.500  0.500  0.500
As  0.500  0.000  0.000
Se  0.000  0.000  0.500
Se  0.000  0.500  0.000

The energy relative to the elements, uncorrected comes out at 4.7 eV per formula unit. The crystal system is tetragonal. For the density of states at the Fermi level, the calculation gives 0.776 states/eV per atom. The volume comes out at 113.6 Å³/f.u.

Density functional theory data (PBEsol) for crystalline NaMgAs at its relaxed geometry.

Cell lengths 4.379, 4.379, 7.134 Å; angles 90.00, 90.00, 90.00 degrees
Element x y z (fractional)
Na  0.000  0.500  0.366
Na  0.500  0.000  0.634
As  0.000  0.500  0.782
As  0.500  0.000  0.218
Mg  0.000  0.000  0.000
Mg  0.500  0.500  0.000

The crystal system is tetragonal. The volume comes out at 68.4 Å³/f.u. The value obtained for the formation energy is -1.87 eV/f.u.

Density functional theory data (PBEsol) for crystalline NaMgAs3 at its relaxed geometry.

Cell lengths 4.986, 4.986, 4.986 Å; angles 90.00, 90.00, 90.00 degrees
Element x y z (fractional)
Na  0.500  0.500  0.500
As  0.000  0.500  0.000
As  0.000  0.000  0.500
As  0.500  0.000  0.000
Mg  0.000  0.000  0.000

The crystal system is cubic. For the density of states at the Fermi level, the calculation gives 0.539 states/eV per atom. The volume comes out at 124.0 Å³/f.u. The value obtained for the formation energy is 1.69 eV/f.u.